No. 1
First-principles (GGA-PBE) data for a relaxed Er8GaOs2 crystal, as listed in Alexandria.

a b c (Å): 5.4312 7.7393 7.7393
angles (deg): 112.17 97.97 97.97
Fractional coordinates of all 11 atoms:
Os (0.4997, 0.6884, 0.3180)
Os (0.4997, 0.3180, 0.6884)
Ga (0.0044, 0.0028, 0.0028)
Er (0.5863, 0.3343, 0.0674)
Er (0.5863, 0.0674, 0.3343)
Er (0.1969, 0.3798, 0.3798)
Er (0.9997, 0.2434, 0.7625)
Er (0.9997, 0.7625, 0.2434)
Er (0.8025, 0.6265, 0.6265)
Er (0.4122, 0.9390, 0.6720)
Er (0.4122, 0.6720, 0.9390)

Values from the calculation:
- V (Å³/f.u.) = 291.8
- space-group type = Cm
- DFT formation energy (eV/atom) = -0.238
- magnetic moment (Bohr magnetons per cell) = 0.00

No. 2
First-principles (GGA-PBE) data for a relaxed Er8Ga2Os crystal, as listed in Alexandria.

a b c (Å): 4.9938 6.6598 9.1455
angles (deg): 104.48 105.84 90.00
Fractional coordinates of all 11 atoms:
Er (0.4099, 0.5628, 0.8198)
Er (0.6550, 0.9597, 0.3099)
Er (0.7964, 0.6944, 0.5928)
Er (0.9762, 0.2151, 0.9525)
Er (0.2036, 0.3056, 0.4072)
Er (0.3450, 0.0403, 0.6901)
Er (0.5901, 0.4372, 0.1802)
Er (0.0238, 0.7849, 0.0475)
Ga (0.8113, 0.2703, 0.6227)
Ga (0.1887, 0.7297, 0.3773)
Os (0.5000, 0.0000, 0.0000)

Values from the calculation:
- V (Å³/f.u.) = 282.5
- space-group type = C2/m
- DFT formation energy (eV/atom) = -0.296
- magnetic moment (Bohr magnetons per cell) = 0.00

No. 3
First-principles (GGA-PBE) data for a relaxed Er2GaOs crystal, as listed in Alexandria.

a b c (Å): 3.3615 3.3615 10.2965
angles (deg): 80.61 80.61 60.00
Fractional coordinates of all 4 atoms:
Os (0.5000, 0.5000, 0.5000)
Ga (0.0000, 0.0000, 0.0000)
Er (0.0998, 0.0998, 0.7006)
Er (0.9002, 0.9002, 0.2994)

Values from the calculation:
- V (Å³/f.u.) = 99.0
- space-group type = R-3m
- DFT formation energy (eV/atom) = 0.198
- magnetic moment (Bohr magnetons per cell) = 0.00

No. 4
First-principles (GGA-PBE) data for a relaxed Er4Ga12Os crystal, as listed in Alexandria.

a b c (Å): 7.4321 7.4321 7.4321
angles (deg): 109.47 109.47 109.47
Fractional coordinates of all 17 atoms:
Er (0.0000, 0.0000, 0.5000)
Er (0.5000, 0.0000, 0.0000)
Er (0.5000, 0.5000, 0.5000)
Er (0.0000, 0.5000, 0.0000)
Ga (0.0000, 0.2920, 0.2920)
Ga (0.0000, 0.7080, 0.7080)
Ga (0.7080, 0.7080, 0.0000)
Ga (0.2920, 0.2920, 0.0000)
Ga (0.2920, 0.0000, 0.2920)
Ga (0.7080, 0.0000, 0.7080)
Ga (0.5000, 0.2500, 0.7500)
Ga (0.5000, 0.7500, 0.2500)
Ga (0.7500, 0.2500, 0.5000)
Ga (0.2500, 0.7500, 0.5000)
Ga (0.7500, 0.5000, 0.2500)
Ga (0.2500, 0.5000, 0.7500)
Os (0.0000, 0.0000, 0.0000)

Values from the calculation:
- V (Å³/f.u.) = 316.0
- space-group type = Im-3m
- DFT formation energy (eV/atom) = -0.521
- magnetic moment (Bohr magnetons per cell) = 0.00

No. 5
First-principles (GGA-PBE) data for a relaxed Er2Ga8Os crystal, as listed in Alexandria.

a b c (Å): 4.2872 4.2872 11.1921
angles (deg): 90.00 90.00 90.00
Fractional coordinates of all 11 atoms:
Os (0.0000, 0.0000, 0.0000)
Ga (0.0000, 0.5000, 0.5000)
Ga (0.5000, 0.0000, 0.5000)
Ga (0.5000, 0.5000, 0.3090)
Ga (0.5000, 0.5000, 0.6910)
Ga (0.0000, 0.5000, 0.1224)
Ga (0.5000, 0.0000, 0.1224)
Ga (0.0000, 0.5000, 0.8776)
Ga (0.5000, 0.0000, 0.8776)
Er (0.0000, 0.0000, 0.3075)
Er (0.0000, 0.0000, 0.6925)

Values from the calculation:
- V (Å³/f.u.) = 205.7
- space-group type = P4/mmm
- DFT formation energy (eV/atom) = -0.433
- magnetic moment (Bohr magnetons per cell) = 0.00

No. 6
First-principles (GGA-PBE) data for a relaxed Er2Ga10Os3 crystal, as listed in Alexandria.

a b c (Å): 8.9015 8.9015 6.3864
angles (deg): 90.00 90.00 90.00
Fractional coordinates of all 30 atoms:
Er (0.6827, 0.1827, 0.0000)
Er (0.3173, 0.8173, 0.0000)
Er (0.8173, 0.6827, 0.0000)
Er (0.1827, 0.3173, 0.0000)
Ga (0.9387, 0.2069, 0.2926)
Ga (0.7069, 0.4387, 0.2926)
Ga (0.5000, 0.0000, 0.2837)
Ga (0.5613, 0.7069, 0.7074)
Ga (0.2931, 0.5613, 0.7074)
Ga (0.7931, 0.9387, 0.2926)
Ga (0.9387, 0.2069, 0.7074)
Ga (0.2931, 0.5613, 0.2926)
Ga (0.0613, 0.7931, 0.2926)
Ga (0.7069, 0.4387, 0.7074)
Ga (0.4387, 0.2931, 0.7074)
Ga (0.0613, 0.7931, 0.7074)
Ga (0.2069, 0.0613, 0.7074)
Ga (0.7931, 0.9387, 0.7074)
Ga (0.2069, 0.0613, 0.2926)
Ga (0.0000, 0.5000, 0.7163)
Ga (0.0000, 0.5000, 0.2837)
Ga (0.5613, 0.7069, 0.2926)
Ga (0.4387, 0.2931, 0.2926)
Ga (0.5000, 0.0000, 0.7163)
Os (0.6786, 0.1786, 0.5000)
Os (0.8214, 0.6786, 0.5000)
Os (0.1786, 0.3214, 0.5000)
Os (0.0000, 0.0000, 0.0000)
Os (0.3214, 0.8214, 0.5000)
Os (0.5000, 0.5000, 0.0000)

Values from the calculation:
- V (Å³/f.u.) = 253.0
- space-group type = P4/mbm
- DFT formation energy (eV/atom) = -0.417
- magnetic moment (Bohr magnetons per cell) = 0.00

No. 7
First-principles (GGA-PBE) data for a relaxed Er2Ga5Os crystal, as listed in Alexandria.

a b c (Å): 5.9816 5.9816 5.9816
angles (deg): 93.04 118.26 118.26
Fractional coordinates of all 8 atoms:
Er (0.5000, 0.2563, 0.7563)
Er (0.5000, 0.7563, 0.2563)
Ga (0.4240, 0.7129, 0.7129)
Ga (0.0000, 0.7129, 0.2889)
Ga (0.0000, 0.2889, 0.7129)
Ga (0.5760, 0.2889, 0.2889)
Ga (0.0000, 0.2521, 0.2521)
Os (0.0000, 0.9537, 0.9537)

Values from the calculation:
- V (Å³/f.u.) = 155.1
- space-group type = I4mm
- DFT formation energy (eV/atom) = -0.327
- magnetic moment (Bohr magnetons per cell) = 0.00

No. 8
First-principles (GGA-PBE) data for a relaxed Er6GaOs2 crystal, as listed in Alexandria.

a b c (Å): 8.3528 8.3528 8.3528
angles (deg): 103.89 112.35 112.31
Fractional coordinates of all 18 atoms:
Er (0.5428, 0.7234, 0.8193)
Er (0.4572, 0.2766, 0.1807)
Er (0.0959, 0.2766, 0.8193)
Er (0.9041, 0.7234, 0.1807)
Er (0.7997, 0.7548, 0.5545)
Er (0.2003, 0.2452, 0.4455)
Er (0.2003, 0.7548, 0.9552)
Er (0.7997, 0.2452, 0.0448)
Er (0.6882, 0.3553, 0.6671)
Er (0.3118, 0.6447, 0.3329)
Er (0.3118, 0.9788, 0.6671)
Er (0.6882, 0.0212, 0.3329)
Ga (0.0000, 0.5000, 0.5000)
Ga (0.0000, 0.0000, 0.0000)
Os (0.5000, 0.3767, 0.8768)
Os (0.5000, 0.6232, 0.1232)
Os (0.6745, 0.0000, 0.6745)
Os (0.3255, 0.0000, 0.3255)

Values from the calculation:
- V (Å³/f.u.) = 222.7
- space-group type = Immm
- DFT formation energy (eV/atom) = -0.344
- magnetic moment (Bohr magnetons per cell) = 0.00

No. 9
First-principles (GGA-PBE) data for a relaxed Er2Ga3Os crystal, as listed in Alexandria.

a b c (Å): 5.4114 5.4114 5.3724
angles (deg): 90.01 120.26 119.97
Fractional coordinates of all 6 atoms:
Er (0.7451, 0.3721, 0.1172)
Er (0.2549, 0.6279, 0.8828)
Ga (0.5000, 0.5000, 0.5000)
Ga (0.0000, 0.0000, 0.5000)
Ga (0.5000, 0.0000, 0.5000)
Os (0.0000, 0.0000, 0.0000)

Values from the calculation:
- V (Å³/f.u.) = 110.8
- space-group type = R-3m
- DFT formation energy (eV/atom) = -0.505
- magnetic moment (Bohr magnetons per cell) = 0.00

No. 10
First-principles (GGA-PBE) data for a relaxed Er3Ga3Os2 crystal, as listed in Alexandria.

a b c (Å): 5.5598 7.9260 15.0045
angles (deg): 90.00 90.00 90.00
Fractional coordinates of all 32 atoms:
Er (0.1063, 0.4483, 0.3915)
Er (0.6063, 0.0517, 0.6085)
Er (0.8937, 0.5517, 0.8915)
Er (0.3937, 0.9483, 0.1085)
Er (0.8937, 0.5517, 0.6085)
Er (0.3937, 0.9483, 0.3915)
Er (0.1063, 0.4483, 0.1085)
Er (0.6063, 0.0517, 0.8915)
Er (0.6328, 0.3025, 0.2500)
Er (0.1328, 0.1975, 0.7500)
Er (0.3672, 0.6975, 0.7500)
Er (0.8672, 0.8025, 0.2500)
Ga (0.1168, 0.1459, 0.2500)
Ga (0.6168, 0.3541, 0.7500)
Ga (0.8832, 0.8541, 0.7500)
Ga (0.3832, 0.6459, 0.2500)
Ga (0.6111, 0.3140, 0.4609)
Ga (0.1111, 0.1860, 0.5391)
Ga (0.3889, 0.6860, 0.9609)
Ga (0.8889, 0.8140, 0.0391)
Ga (0.3889, 0.6860, 0.5391)
Ga (0.8889, 0.8140, 0.4609)
Ga (0.6111, 0.3140, 0.0391)
Ga (0.1111, 0.1860, 0.9609)
Os (0.8925, 0.1051, 0.3966)
Os (0.3925, 0.3949, 0.6034)
Os (0.1075, 0.8949, 0.8966)
Os (0.6075, 0.6051, 0.1034)
Os (0.1075, 0.8949, 0.6034)
Os (0.6075, 0.6051, 0.3966)
Os (0.8925, 0.1051, 0.1034)
Os (0.3925, 0.3949, 0.8966)

Values from the calculation:
- V (Å³/f.u.) = 165.3
- space-group type = Pnma
- DFT formation energy (eV/atom) = -0.472
- magnetic moment (Bohr magnetons per cell) = 0.00

No. 11
First-principles (GGA-PBE) data for a relaxed PmErGaOs crystal, as listed in Alexandria.

a b c (Å): 4.9731 4.9731 4.9731
angles (deg): 60.00 60.00 60.00
Fractional coordinates of all 4 atoms:
Pm (0.7500, 0.7500, 0.7500)
Os (0.0000, 0.0000, 0.0000)
Ga (0.5000, 0.5000, 0.5000)
Er (0.2500, 0.2500, 0.2500)

Values from the calculation:
- V (Å³/f.u.) = 87.0
- space-group type = F-43m
- DFT formation energy (eV/atom) = -0.295
- magnetic moment (Bohr magnetons per cell) = 0.00

No. 12
First-principles (GGA-PBE) data for a relaxed PrErGaOs crystal, as listed in Alexandria.

a b c (Å): 5.0140 5.0140 5.0140
angles (deg): 60.00 60.00 60.00
Fractional coordinates of all 4 atoms:
Pr (0.5000, 0.5000, 0.5000)
Os (0.7500, 0.7500, 0.7500)
Ga (0.2500, 0.2500, 0.2500)
Er (0.0000, 0.0000, 0.0000)

Values from the calculation:
- V (Å³/f.u.) = 89.1
- space-group type = F-43m
- DFT formation energy (eV/atom) = -0.242
- magnetic moment (Bohr magnetons per cell) = 0.00

No. 13
First-principles (GGA-PBE) data for a relaxed ErGa4OsRh2 crystal, as listed in Alexandria.

a b c (Å): 4.2382 4.2382 8.8247
angles (deg): 76.11 76.11 60.00
Fractional coordinates of all 8 atoms:
Er (0.0000, 0.0000, 0.0000)
Ga (0.3983, 0.3983, 0.8052)
Ga (0.8682, 0.8682, 0.3953)
Ga (0.1318, 0.1318, 0.6047)
Ga (0.6017, 0.6017, 0.1948)
Os (0.5000, 0.5000, 0.5000)
Rh (0.7594, 0.7594, 0.7217)
Rh (0.2406, 0.2406, 0.2783)

Values from the calculation:
- V (Å³/f.u.) = 131.9
- space-group type = R-3m
- DFT formation energy (eV/atom) = -0.505
- magnetic moment (Bohr magnetons per cell) = 0.00

No. 14
First-principles (GGA-PBE) data for a relaxed ErGa4OsRu2 crystal, as listed in Alexandria.

a b c (Å): 4.2438 4.2438 8.7755
angles (deg): 76.01 76.01 60.00
Fractional coordinates of all 8 atoms:
Er (0.0000, 0.0000, 0.0000)
Ga (0.3984, 0.3984, 0.8048)
Ga (0.8686, 0.8686, 0.3942)
Ga (0.1314, 0.1314, 0.6058)
Ga (0.6016, 0.6016, 0.1952)
Os (0.5000, 0.5000, 0.5000)
Ru (0.7596, 0.7596, 0.7213)
Ru (0.2404, 0.2404, 0.2787)

Values from the calculation:
- V (Å³/f.u.) = 131.4
- space-group type = R-3m
- DFT formation energy (eV/atom) = -0.298
- magnetic moment (Bohr magnetons per cell) = 0.00

No. 15
First-principles (GGA-PBE) data for a relaxed TbErGaOs crystal, as listed in Alexandria.

a b c (Å): 4.9147 4.9147 4.9147
angles (deg): 60.00 60.00 60.00
Fractional coordinates of all 4 atoms:
Tb (0.0000, 0.0000, 0.0000)
Os (0.7500, 0.7500, 0.7500)
Ga (0.2500, 0.2500, 0.2500)
Er (0.5000, 0.5000, 0.5000)

Values from the calculation:
- V (Å³/f.u.) = 83.9
- space-group type = F-43m
- DFT formation energy (eV/atom) = -0.365
- magnetic moment (Bohr magnetons per cell) = 0.00

No. 16
First-principles (GGA-PBE) data for a relaxed ErGaP2 crystal, as listed in Alexandria.

a b c (Å): 3.4956 3.4956 8.6992
angles (deg): 78.41 78.41 60.00
Fractional coordinates of all 4 atoms:
P (0.1079, 0.1079, 0.6763)
P (0.8921, 0.8921, 0.3237)
Ga (0.5000, 0.5000, 0.5000)
Er (0.0000, 0.0000, 0.0000)

Values from the calculation:
- V (Å³/f.u.) = 89.5
- space-group type = R-3m
- DFT formation energy (eV/atom) = 0.140
- magnetic moment (Bohr magnetons per cell) = 0.00

No. 17
First-principles (GGA-PBE) data for a relaxed ErGa2P2Pt7 crystal, as listed in Alexandria.

a b c (Å): 3.9126 3.9126 14.3533
angles (deg): 85.69 85.69 90.32
Fractional coordinates of all 12 atoms:
Er (0.0000, 0.0000, 0.0000)
Ga (0.8695, 0.8695, 0.4236)
Ga (0.1305, 0.1305, 0.5764)
P (0.5699, 0.5699, 0.7503)
P (0.4301, 0.4301, 0.2497)
Pt (0.5000, 0.5000, 0.0000)
Pt (0.4050, 0.4050, 0.4091)
Pt (0.5950, 0.5950, 0.5909)
Pt (0.9559, 0.4562, 0.1553)
Pt (0.4562, 0.9559, 0.1553)
Pt (0.5438, 0.0441, 0.8447)
Pt (0.0441, 0.5438, 0.8447)

Values from the calculation:
- V (Å³/f.u.) = 218.5
- space-group type = C2/m
- DFT formation energy (eV/atom) = -0.666
- magnetic moment (Bohr magnetons per cell) = 0.00

No. 18
First-principles (GGA-PBE) data for a relaxed ErGa2PRu2 crystal, as listed in Alexandria.

a b c (Å): 4.4201 4.4201 5.4897
angles (deg): 90.00 90.00 90.00
Fractional coordinates of all 6 atoms:
Er (0.0000, 0.0000, 0.5000)
Ga (0.5000, 0.5000, 0.7242)
Ga (0.5000, 0.5000, 0.2758)
P (0.0000, 0.0000, 0.0000)
Ru (0.5000, 0.0000, 0.0000)
Ru (0.0000, 0.5000, 0.0000)

Values from the calculation:
- V (Å³/f.u.) = 107.3
- space-group type = P4/mmm
- DFT formation energy (eV/atom) = -0.433
- magnetic moment (Bohr magnetons per cell) = 0.23

No. 19
First-principles (GGA-PBE) data for a relaxed Er6GaP2S3 crystal, as listed in Alexandria.

a b c (Å): 3.9085 7.9807 8.8550
angles (deg): 102.95 102.75 90.00
Fractional coordinates of all 12 atoms:
Er (0.3332, 0.9115, 0.6665)
Er (0.6698, 0.5781, 0.3395)
Er (0.6668, 0.0885, 0.3335)
Er (0.0010, 0.2554, 0.0021)
Er (0.9990, 0.7446, 0.9979)
Er (0.3302, 0.4219, 0.6605)
Ga (0.5000, 0.0000, 0.0000)
P (0.8328, 0.6650, 0.6657)
P (0.1672, 0.3350, 0.3343)
S (0.5000, 0.5000, 0.0000)
S (0.8313, 0.1685, 0.6625)
S (0.1687, 0.8315, 0.3375)

Values from the calculation:
- V (Å³/f.u.) = 262.2
- space-group type = C2/m
- formation energy from raw total energies (meV/atom) = -1635.8
- magnetic moment (Bohr magnetons per cell) = 0.00

No. 20
First-principles (GGA-PBE) data for a relaxed Er4GaPS2 crystal, as listed in Alexandria.

a b c (Å): 3.8943 6.9202 6.9112
angles (deg): 71.19 90.00 90.00
Fractional coordinates of all 8 atoms:
Er (0.0000, 0.7532, 0.7438)
Er (0.0000, 0.2468, 0.2562)
Er (0.5000, 0.7442, 0.2545)
Er (0.5000, 0.2558, 0.7455)
Ga (0.5000, 0.5000, 0.0000)
P (0.0000, 0.5000, 0.5000)
S (0.0000, 0.0000, 0.0000)
S (0.5000, 0.0000, 0.5000)

Values from the calculation:
- V (Å³/f.u.) = 176.3
- space-group type = P2/m
- formation energy from raw total energies (meV/atom) = -1519.8
- magnetic moment (Bohr magnetons per cell) = 0.00